1.
A relaxed ZrTl2Au crystal, computed with PBE-GGA.

```
ZrTl2Au
1.0
3.452 0.000 0.000
0.000 3.456 0.000
0.000 0.000 7.537
Au Tl Zr
1 2 1
Cartesian
1.726 1.728 5.653
0.000 0.000 7.458
0.000 0.000 3.848
1.726 1.728 1.884
```

Summary:
The value obtained for the total magnetization is 0.0 μB/f.u. As for the calculated formation energy: 78 meV per atom. The energy above the most stable polymorph in this dataset comes out at 165 meV/atom.

***

2.
A relaxed ZrTlAu crystal, computed with PBE-GGA.

```
ZrTlAu
1.0
-3.205 2.351 2.263
3.689 -1.551 2.214
5.422 9.608 -2.303
Tl Au Zr
2 2 2
Cartesian
1.355 2.402 -0.576
4.066 7.206 -1.727
2.747 2.152 1.655
3.160 8.256 0.520
0.000 0.000 0.000
2.711 4.804 -1.151
```

Summary:
The value obtained for the total magnetization is 0.0 μB/f.u. As for the calculated formation energy: 1215 meV per atom.

***

3.
A relaxed Zr5Tl4Au crystal, computed with PBE-GGA.

```
Zr5Tl4Au
1.0
-2.284 -0.690 -2.138
2.180 0.060 -2.348
3.696 -21.180 2.890
Zr Tl Au
5 4 1
Cartesian
0.280 -2.219 -1.983
1.038 -6.562 -1.391
1.796 -10.905 -0.798
2.554 -15.248 -0.206
3.312 -19.592 0.387
0.713 -4.087 0.558
1.469 -8.418 1.149
2.227 -12.762 1.741
2.983 -17.093 2.332
0.000 0.000 0.000
```

Summary:
The value obtained for the total magnetization is 0.0 μB/f.u. As for the calculated formation energy: -160 meV per atom.

***

4.
A relaxed Zr3Tl2Au crystal, computed with PBE-GGA.

```
Zr3Tl2Au
1.0
-2.326 1.384 -1.692
-1.713 -2.688 0.155
-5.477 4.118 10.897
Zr Tl Au
3 2 1
Cartesian
0.000 0.000 0.000
-3.576 2.689 7.114
-1.901 1.430 3.783
-6.550 2.755 8.246
-2.965 0.059 1.114
-4.758 1.407 4.680
```

Summary:
The value obtained for the total magnetization is 0.0 μB/f.u. As for the calculated formation energy: -220 meV per atom.

***

5.
A relaxed ZrTlAu crystal, computed with PBE-GGA.

```
ZrTlAu
1.0
-3.915 -4.985 4.464
1.983 -2.012 -1.753
1.929 -0.251 5.645
Tl Au Zr
2 2 2
Cartesian
0.408 -1.850 5.873
1.879 -1.934 1.327
-0.447 -2.933 2.994
-1.181 -5.837 8.669
0.541 -4.951 6.435
-2.169 -3.819 5.228
```

Summary:
The value obtained for the total magnetization is 0.0 μB/f.u. As for the calculated formation energy: -172 meV per atom.

***

6.
A relaxed ZrTl2Au crystal, computed with PBE-GGA.

```
ZrTl2Au
1.0
-1.449 -1.609 5.253
-3.226 -4.672 0.212
4.872 1.398 -2.567
Au Tl Zr
1 2 1
Cartesian
0.543 -1.676 2.709
0.000 0.000 0.000
-0.346 -3.207 0.189
-2.337 -3.140 2.733
```

Summary:
The value obtained for the total magnetization is 0.0 μB/f.u. As for the calculated formation energy: -7 meV per atom. The energy above the most stable polymorph in this dataset comes out at 80 meV/atom.

***

7.
A relaxed Tm3Au2 crystal, computed with PBE-GGA.

```
Tm3Au2
1.0
-0.647 3.436 -0.538
-1.630 -0.783 -3.041
-7.249 -2.169 6.500
Tm Au
3 2
Cartesian
0.000 0.000 0.000
-3.087 -0.310 1.734
-6.439 0.795 1.188
-6.833 -0.686 3.838
-2.693 1.171 -0.916
```

Summary:
The value obtained for the total magnetization is 0.7 μB/f.u. As for the calculated formation energy: -696 meV per atom. The energy above the most stable polymorph in this dataset comes out at 28 meV/atom.

***

8.
A relaxed Tm5Au6 crystal, computed with PBE-GGA.

```
Tm5Au6
1.0
-0.493 -2.551 -4.145
-1.005 -6.037 3.835
-6.550 5.565 0.242
Tm Au
5 6
Cartesian
-0.503 -3.018 1.917
-3.254 -3.858 -0.125
-4.795 0.835 0.057
-5.641 -2.124 1.979
-2.408 -0.899 -2.047
-0.975 -5.651 0.707
-0.523 -2.937 -1.017
-4.728 0.953 -2.911
-5.197 -1.862 -1.122
-3.321 -3.976 2.843
-2.852 -1.161 1.054
```

Summary:
The value obtained for the total magnetization is 0.0 μB/f.u. As for the calculated formation energy: -779 meV per atom.